# KScMnF6

A relaxed KScMnF6 crystal (GGA+U, Alexandria via LeMat-Bulk).

Properties
Energy ... -111.83 eV/cell
Volume ... 17.2 Å³ per atom
Space-group type ... P-31c

Structure (POSCAR):
```
KScMnF6
1.0
5.675 0.000 0.000
-2.837 4.915 0.000
0.000 0.000 11.130
K Sc Mn F
2 2 2 12
Cartesian
0.000 0.000 0.000
0.000 0.000 5.565
0.000 3.276 2.783
2.837 1.638 8.348
0.000 3.276 8.348
2.837 1.638 2.783
-1.015 1.898 1.664
-1.701 3.087 3.901
1.015 1.898 3.901
-0.686 4.844 1.664
2.151 0.070 7.229
1.136 1.828 9.466
1.701 3.087 1.664
0.686 4.844 3.901
3.524 0.070 9.466
1.822 3.016 7.229
4.538 1.828 7.229
3.852 3.016 9.466
```